# 1
# BaPuCoO6

A relaxed BaPuCoO6 crystal (GGA+U, Alexandria via LeMat-Bulk).

Cell lengths 5.1905, 5.1905, 11.9620 Å; angles 90.00, 90.00, 120.00 degrees
Sites, in units of the cell vectors:
Ba 0.0000 0.0000 0.0000
Ba 0.0000 0.0000 0.5000
Pu 0.3333 0.6667 0.2500
Pu 0.6667 0.3333 0.7500
Co 0.3333 0.6667 0.7500
Co 0.6667 0.3333 0.2500
O 0.0117 0.3777 0.6570
O 0.0117 0.6341 0.8430
O 0.3659 0.3777 0.8430
O 0.3659 0.9883 0.6570
O 0.3777 0.0117 0.1570
O 0.3777 0.3659 0.3430
O 0.6223 0.6341 0.6570
O 0.6223 0.9883 0.8430
O 0.6341 0.0117 0.3430
O 0.6341 0.6223 0.1570
O 0.9883 0.3659 0.1570
O 0.9883 0.6223 0.3430

Results
Volume, Å³/atom: 15.505
Symmetry: P-31c
Raw total energy, eV per atom: -7.7807

# 2
# Ba3Pu2CoO9

A relaxed Ba3Pu2CoO9 crystal (GGA+U, Alexandria via LeMat-Bulk).

Cell lengths 6.0157, 6.0157, 7.4599 Å; angles 90.00, 90.00, 120.00 degrees
Sites, in units of the cell vectors:
Ba 0.0000 0.0000 0.0000
Ba 0.3333 0.6667 0.6501
Ba 0.6667 0.3333 0.3499
Pu 0.3333 0.6667 0.1741
Pu 0.6667 0.3333 0.8259
Co 0.0000 0.0000 0.5000
O 0.0000 0.5000 0.0000
O 0.1673 0.3346 0.3340
O 0.1673 0.8327 0.3340
O 0.3346 0.1673 0.6660
O 0.5000 0.0000 0.0000
O 0.5000 0.5000 0.0000
O 0.6654 0.8327 0.3340
O 0.8327 0.1673 0.6660
O 0.8327 0.6654 0.6660

Results
Volume, Å³/atom: 15.587
Symmetry: P-3m1
Raw total energy, eV per atom: -8.2519